Entry 1:
DFT (PBE) results for crystalline Sc2SbPt at its relaxed geometry.

Summary:
Uncorrected energy   -6.142 eV/atom
Crystal system   cubic

Unit cell a=4.8215 b=4.8215 c=4.8215 alpha=60.00 beta=60.00 gamma=60.00
Closest atoms and distances in Å follow each position.
Atoms (fractional coordinates):
Sc (0.0000, 0.0000, 0.0000)  4 Pt 2.95, 4 Sc 2.95
Sc (0.2500, 0.2500, 0.2500)  4 Sb 2.95, 4 Sc 2.95
Sb (0.5000, 0.5000, 0.5000)  4 Sc 2.95, 4 Pt 2.95
Pt (0.7500, 0.7500, 0.7500)  4 Sb 2.95, 4 Sc 2.95



Entry 2:
DFT (PBE) results for crystalline InAgTe2OsSe at its relaxed geometry.

Summary:
Uncorrected energy   -4.384 eV/atom
Crystal system   orthorhombic

Unit cell a=7.9826 b=7.9826 c=10.0912 alpha=90.00 beta=90.00 gamma=150.20
Closest atoms and distances in Å follow each position.
Atoms (fractional coordinates):
In (0.1641, 0.8359, 0.7500)  2 Se 2.76, 2 Ag 2.86, 2 Te 2.97
In (0.8359, 0.1641, 0.2500)  2 Se 2.76, 2 Ag 2.86, 2 Te 2.97
Ag (0.2071, 0.7929, 0.2500)  2 Te 2.68, 2 In 2.86
Ag (0.7929, 0.2071, 0.7500)  2 Te 2.68, 2 In 2.86
Te (0.1085, 0.8915, 0.0318)  2 Os 2.67, 1 Ag 2.68, 1 In 2.97
Te (0.1085, 0.8915, 0.4682)  2 Os 2.67, 1 Ag 2.68, 1 In 2.97
Te (0.8915, 0.1085, 0.5318)  2 Os 2.67, 1 Ag 2.68, 1 In 2.97
Te (0.8915, 0.1085, 0.9682)  2 Os 2.67, 1 Ag 2.68, 1 In 2.97
Os (0.5000, 0.5000, 0.0000)  2 Se 2.61, 4 Te 2.67
Os (0.5000, 0.5000, 0.5000)  2 Se 2.61, 4 Te 2.67
Se (0.4558, 0.5442, 0.2500)  2 Os 2.61, 2 In 2.76
Se (0.5442, 0.4558, 0.7500)  2 Os 2.61, 2 In 2.76



Entry 3:
DFT (PBE) results for crystalline AcInAg at its relaxed geometry.

Summary:
Uncorrected energy   -3.048 eV/atom
Crystal system   cubic
Polymorph energy (0 for the lowest one)   1.759 eV/f.u.

Unit cell a=5.3127 b=5.3127 c=5.3127 alpha=60.00 beta=60.00 gamma=60.00
Closest atoms and distances in Å follow each position.
Atoms (fractional coordinates):
Ac (0.0000, 0.0000, 0.0000)  4 In 3.25, 4 Ag 3.25
In (0.2500, 0.2500, 0.2500)  4 Ac 3.25
Ag (0.7500, 0.7500, 0.7500)  4 Ac 3.25